CePuSnHg PBE-GGA optimized geometry; M_tot = 7.82 Bohr magnetons per cell; excess energy over the best structure of this formula in the dataset = 12.1 meV per atom; ΔE_f = -0.34 eV/atom; V = 27.90 A^3/atom
1.0
-4.0247 -0.9267 3.4850
-1.1480 -5.0573 1.5191
1.1052 -1.6260 5.0336
Pu Ce Hg Sn
1 1 1 1
Direct
0.0000 0.0000 0.0000 Pu
0.5000 0.5000 0.5000 Ce
0.7500 0.7500 0.7500 Hg
0.2500 0.2500 0.2500 Sn


TbTm3S6 PBE-GGA optimized geometry; M_tot = 0.00 Bohr magnetons per cell; formation energy without anion corrections = -17.75 eV per formula unit; excess energy over the best structure of this formula in the dataset = 302.4 meV per atom; V = 26.01 A^3/atom
1.0
-2.2742 -3.4334 -0.1335
6.7746 -4.5215 0.8804
-3.1265 1.7848 7.3588
S Tm Tb
6 3 1
Direct
0.0000 0.0790 0.3296 S
0.0000 0.3296 0.0790 S
0.0000 0.6704 0.9210 S
0.5000 0.3569 0.6431 S
0.0000 0.9210 0.6704 S
0.5000 0.6431 0.3569 S
0.0000 0.0000 0.0000 Tm
0.5000 0.5000 0.0000 Tm
0.5000 0.0000 0.5000 Tm
0.0000 0.5000 0.5000 Tb


- Look up the excess energy over the best structure of this formula in the dataset of the second one.
  302.4 meV per atom


Copy entry 1 word for word.
CePuSnHg PBE-GGA optimized geometry; M_tot = 7.82 Bohr magnetons per cell; excess energy over the best structure of this formula in the dataset = 12.1 meV per atom; ΔE_f = -0.34 eV/atom; V = 27.90 A^3/atom
1.0
-4.0247 -0.9267 3.4850
-1.1480 -5.0573 1.5191
1.1052 -1.6260 5.0336
Pu Ce Hg Sn
1 1 1 1
Direct
0.0000 0.0000 0.0000 Pu
0.5000 0.5000 0.5000 Ce
0.7500 0.7500 0.7500 Hg
0.2500 0.2500 0.2500 Sn


Copy entry 2 word for word.
TbTm3S6 PBE-GGA optimized geometry; M_tot = 0.00 Bohr magnetons per cell; formation energy without anion corrections = -17.75 eV per formula unit; excess energy over the best structure of this formula in the dataset = 302.4 meV per atom; V = 26.01 A^3/atom
1.0
-2.2742 -3.4334 -0.1335
6.7746 -4.5215 0.8804
-3.1265 1.7848 7.3588
S Tm Tb
6 3 1
Direct
0.0000 0.0790 0.3296 S
0.0000 0.3296 0.0790 S
0.0000 0.6704 0.9210 S
0.5000 0.3569 0.6431 S
0.0000 0.9210 0.6704 S
0.5000 0.6431 0.3569 S
0.0000 0.0000 0.0000 Tm
0.5000 0.5000 0.0000 Tm
0.5000 0.0000 0.5000 Tm
0.0000 0.5000 0.5000 Tb


- Among the records above, which one has the lowest V?
  TbTm3S6